# La7Pm12Nd (PBE-GGA, optimized geometry)
# Formation energy: 553 meV/atom
# Theoretical density: 6.07 g cm⁻³
# Crystal system: cubic
# Total magnetic moment: 0.01 μB per atom
# Density of states at the Fermi level: 1.787 states/eV/atom
data_La7Pm12Nd
_chemical_formula_sum 'La14 Pm24 Nd2'
_cell_length_a 11.603
_cell_length_b 11.603
_cell_length_c 11.603
_cell_angle_alpha 90.00
_cell_angle_beta 90.00
_cell_angle_gamma 90.00
_space_group_name_H-M_alt 'I m -3'
_space_group_IT_number 204
_space_group_name_Hall '-I 2 2 3'
loop_
_atom_site_label
_atom_site_type_symbol
_atom_site_fract_x
_atom_site_fract_y
_atom_site_fract_z
_atom_site_occupancy
La1 La 0.000 0.000 0.500 1
La2 La 0.250 0.250 0.250 1
Pm1 Pm 0.000 0.248 0.249 1
Nd1 Nd 0.000 0.000 0.000 1